1.
Material: Y3TcS
Method: DFT, GGA-PBE
State: optimized geometry

Cell lengths 5.0850, 5.0850, 5.0850 Å; angles 90.00, 90.00, 90.00 degrees
Last column: nearest neighbours and their distance in Å.
Space group Pm-3m (No. 221)
One atom of each set of equivalent atoms:
Y  0.0000  0.0000  0.5000 x3  2 S 2.54
Tc  0.5000  0.5000  0.5000 x1  12 Y 3.60
S  0.0000  0.0000  0.0000 x1  6 Y 2.54

Summary:
Volume, Å³/cell: 131.5
Energy, eV for the cell shown: -34.77
Energy above the most stable polymorph in this dataset, eV/f.u.: 0.000
Crystal system: cubic



2.
Material: YTcS3
Method: DFT, GGA-PBE
State: optimized geometry

Cell lengths 4.6735, 4.6735, 4.6735 Å; angles 90.00, 90.00, 90.00 degrees
Last column: nearest neighbours and their distance in Å.
Space group Pm-3m (No. 221)
One atom of each set of equivalent atoms:
Y  0.0000  0.0000  0.0000 x1  12 S 3.30
Tc  0.5000  0.5000  0.5000 x1  6 S 2.34
S  0.0000  0.5000  0.5000 x3  2 Tc 2.34

Summary:
Volume, Å³/cell: 102.1
Energy, eV for the cell shown: -32.09
Energy above the most stable polymorph in this dataset, eV/f.u.: 0.000
Crystal system: cubic



3.
Material: YTcS2
Method: DFT, GGA-PBE
State: optimized geometry

Cell lengths 5.2231, 5.2231, 12.9754 Å; angles 90.00, 90.00, 90.00 degrees
Last column: nearest neighbours and their distance in Å.
Space group I-42d (No. 122)
One atom of each set of equivalent atoms:
Y  0.0000  0.0000  0.0000 x4  4 S 2.64
Tc  0.0000  0.0000  0.5000 x4  4 S 2.30
S  0.1888  0.2500  0.6250 x8  2 Tc 2.30

Summary:
Volume, Å³/cell: 354.0
Energy, eV for the cell shown: -113.33
Energy above the most stable polymorph in this dataset, eV/f.u.: 0.000
Crystal system: tetragonal



4.
Material: YTcS2
Method: DFT, GGA-PBE
State: optimized geometry

Cell lengths 3.9929, 3.9929, 23.0122 Å; angles 90.00, 90.00, 120.00 degrees
Last column: nearest neighbours and their distance in Å.
Space group R-3m (No. 166, hexagonal axes)
One atom of each set of equivalent atoms:
Y  0.0000  0.0000  0.0000 x3  6 S 2.73
Tc  0.0000  0.0000  0.5000 x3  2 S 2.38
S  0.0000  0.0000  0.3968 x6  1 Tc 2.38

Summary:
Volume, Å³/cell: 317.7
Energy, eV for the cell shown: -82.10
Energy above the most stable polymorph in this dataset, eV/f.u.: 0.966
Crystal system: trigonal



5.
Material: YTcS3
Method: DFT, GGA-PBE
State: optimized geometry

Cell lengths 5.1666, 5.1666, 5.1666 Å; angles 90.00, 90.00, 90.00 degrees
Last column: nearest neighbours and their distance in Å.
Space group Pm-3m (No. 221)
One atom of each set of equivalent atoms:
Y  0.0000  0.0000  0.0000 x1  6 S 2.58
Tc  0.5000  0.5000  0.5000 x1  12 S 3.65
S  0.0000  0.0000  0.5000 x3  2 Y 2.58

Summary:
Volume, Å³/cell: 137.9
Energy, eV for the cell shown: -27.92
Energy above the most stable polymorph in this dataset, eV/f.u.: 4.171
Crystal system: cubic



6.
Material: YTcS2
Method: DFT, GGA-PBE
State: optimized geometry

Cell lengths 6.4887, 6.4887, 6.4887 Å; angles 90.00, 90.00, 90.00 degrees
Last column: nearest neighbours and their distance in Å.
Space group Fm-3m (No. 225)
One atom of each set of equivalent atoms:
Y  0.0000  0.0000  0.0000 x4  8 S 2.81
Tc  0.0000  0.0000  0.5000 x4  8 S 2.81
S  0.2500  0.2500  0.2500 x8  4 Tc 2.81, 4 Y 2.81

Summary:
Volume, Å³/cell: 273.2
Energy, eV for the cell shown: -111.71
Energy above the most stable polymorph in this dataset, eV/f.u.: 0.404
Crystal system: cubic



7.
Material: ZnTc2S
Method: DFT, GGA-PBE
State: optimized geometry

Cell lengths 5.9978, 5.9978, 5.9978 Å; angles 90.00, 90.00, 90.00 degrees
Last column: nearest neighbours and their distance in Å.
Space group Fm-3m (No. 225)
One atom of each set of equivalent atoms:
Zn  0.0000  0.0000  0.0000 x4  8 Tc 2.60
Tc  0.2500  0.2500  0.2500 x8  4 S 2.60, 4 Zn 2.60
S  0.0000  0.0000  0.5000 x4  8 Tc 2.60

Summary:
Volume, Å³/cell: 215.8
Energy, eV for the cell shown: -99.98
Crystal system: cubic



8.
Material: ZnTcS3
Method: DFT, GGA-PBE
State: optimized geometry

Cell lengths 4.6477, 4.6477, 4.6477 Å; angles 90.00, 90.00, 90.00 degrees
Last column: nearest neighbours and their distance in Å.
Space group Pm-3m (No. 221)
One atom of each set of equivalent atoms:
Zn  0.0000  0.0000  0.0000 x1  12 S 3.29
Tc  0.5000  0.5000  0.5000 x1  6 S 2.32
S  0.0000  0.5000  0.5000 x3  2 Tc 2.32

Summary:
Volume, Å³/cell: 100.4
Energy, eV for the cell shown: -22.57
Energy above the most stable polymorph in this dataset, eV/f.u.: 0.000
Crystal system: cubic



| no. | density of states at the Fermi level (states/eV/f.u.) | magnetization (μB per cell) |
| --- | --- | --- |
| 1 | 4.31 | 0.00 |
| 2 | 1.92 | 2.24 |
| 3 | 3.08 | 0.00 |
| 4 | 1.25 | 12.00 |
| 5 | 4.63 | 4.25 |
| 6 | 3.70 | 8.00 |
| 7 | 3.82 | 0.00 |
| 8 | 6.07 | 0.00 |